This record from Alexandria via LeMat-Bulk describes a relaxed structure of YZr2Cu. The functional is PBE.

Summary:
For the theoretical density, the calculation gives 6.324 Mg/m³. As for the energy above the most stable polymorph in this dataset: 280 meV/atom. The formation energy is 0.9 eV/f.u. Its space group is F-43m.

Unit cell a=7.0590 b=7.0590 c=7.0590 alpha=90.00 beta=90.00 gamma=90.00
Element x y z (fractional)
Y1 0.0000 0.0000 0.0000
Y2 0.0000 0.5000 0.5000
Y3 0.5000 0.0000 0.5000
Y4 0.5000 0.5000 0.0000
Zr1 0.0000 0.0000 0.5000
Zr2 0.0000 0.5000 0.0000
Zr3 0.2500 0.2500 0.2500
Zr4 0.2500 0.7500 0.7500
Zr5 0.5000 0.0000 0.0000
Zr6 0.5000 0.5000 0.5000
Zr7 0.7500 0.2500 0.7500
Zr8 0.7500 0.7500 0.2500
Cu1 0.2500 0.2500 0.7500
Cu2 0.2500 0.7500 0.2500
Cu3 0.7500 0.2500 0.2500
Cu4 0.7500 0.7500 0.7500



This record from Alexandria via LeMat-Bulk describes a relaxed structure of YZrCu. The functional is PBE.

Summary:
For the theoretical density, the calculation gives 6.098 Mg/m³. As for the energy above the most stable polymorph in this dataset: 13 meV/atom. The formation energy is -0.3 eV/f.u. Its space group is C2/m.

Unit cell a=10.7018 b=3.4426 c=8.4347 alpha=90.00 beta=121.34 gamma=90.00
Element x y z (fractional)
Y1 0.0721 0.0000 0.3373
Y2 0.4279 0.5000 0.6627
Y3 0.5721 0.5000 0.3373
Y4 0.9279 0.0000 0.6627
Zr1 0.1573 0.5000 0.0535
Zr2 0.3427 0.0000 0.9465
Zr3 0.6573 0.0000 0.0535
Zr4 0.8427 0.5000 0.9465
Cu1 0.1430 0.5000 0.6639
Cu2 0.3570 0.0000 0.3361
Cu3 0.6430 0.0000 0.6639
Cu4 0.8570 0.5000 0.3361



This record from Alexandria via LeMat-Bulk describes a relaxed structure of YZr2Cu. The functional is PBE.

Summary:
For the theoretical density, the calculation gives 6.229 Mg/m³. As for the energy above the most stable polymorph in this dataset: 273 meV/atom. The formation energy is 0.8 eV/f.u. Its space group is C2/m.

Unit cell a=5.7997 b=10.8088 c=3.2219 alpha=90.00 beta=117.87 gamma=90.00
Element x y z (fractional)
Y1 0.0000 0.0000 0.0000
Y2 0.5000 0.5000 0.0000
Zr1 0.2500 0.2500 0.5000
Zr2 0.2500 0.7500 0.5000
Zr3 0.7500 0.2500 0.5000
Zr4 0.7500 0.7500 0.5000
Cu1 0.0000 0.5000 0.0000
Cu2 0.5000 0.0000 0.0000



This record from Alexandria via LeMat-Bulk describes a relaxed structure of YZr2Cu. The functional is PBE.

Summary:
For the theoretical density, the calculation gives 6.251 Mg/m³. As for the energy above the most stable polymorph in this dataset: 141 meV/atom. The formation energy is 0.3 eV/f.u. Its space group is Imm2.

Unit cell a=3.4006 b=5.0482 c=10.3646 alpha=90.00 beta=90.00 gamma=90.00
Element x y z (fractional)
Y1 0.0000 0.0000 0.0000
Y2 0.5000 0.5000 0.5000
Zr1 0.0000 0.0000 0.4304
Zr2 0.0000 0.5000 0.2126
Zr3 0.5000 0.0000 0.7126
Zr4 0.5000 0.5000 0.9304
Cu1 0.0000 0.5000 0.7271
Cu2 0.5000 0.0000 0.2271



This record from Alexandria via LeMat-Bulk describes a relaxed structure of YZrCu. The functional is PBE.

Summary:
For the theoretical density, the calculation gives 5.763 Mg/m³. As for the energy above the most stable polymorph in this dataset: 257 meV/atom. The formation energy is 0.4 eV/f.u. Its space group is P-6m2.

Unit cell a=4.4159 b=4.4159 c=4.1578 alpha=90.00 beta=90.00 gamma=120.00
Element x y z (fractional)
Y1 0.0000 0.0000 0.0000
Zr1 0.6667 0.3333 0.5000
Cu1 0.3333 0.6667 0.5000



This record from Alexandria via LeMat-Bulk describes a relaxed structure of YZrCu. The functional is PBE.

Summary:
For the theoretical density, the calculation gives 6.196 Mg/m³. As for the energy above the most stable polymorph in this dataset: 99 meV/atom. The formation energy is -0.1 eV/f.u. Its space group is Cm.

Unit cell a=9.2683 b=5.3150 c=7.0112 alpha=90.00 beta=130.85 gamma=90.00
Element x y z (fractional)
Y1 0.0000 0.0000 0.0000
Y2 0.1862 0.0000 0.6971
Y3 0.5000 0.5000 0.0000
Y4 0.6862 0.5000 0.6971
Zr1 0.0110 0.5000 0.6770
Zr2 0.2051 0.5000 0.4089
Zr3 0.5110 0.0000 0.6770
Zr4 0.7051 0.0000 0.4089
Cu1 0.3482 0.2513 0.2032
Cu2 0.3482 0.7487 0.2032
Cu3 0.8482 0.2487 0.2032
Cu4 0.8482 0.7513 0.2032